Record 1
AlFe3 | GGA-PBE | optimized geometry

CIF file:
```
data_AlFe3
_space_group_name_H-M_alt 'F m -3 m'
_space_group_IT_number 225
_space_group_name_Hall '-F 4 2 3'
_cell_length_a 5.744
_cell_length_b 5.744
_cell_length_c 5.744
_cell_angle_alpha 90.00
_cell_angle_beta 90.00
_cell_angle_gamma 90.00
loop_
_atom_site_label
_atom_site_fract_x
_atom_site_fract_y
_atom_site_fract_z
Al1 0.000 0.000 0.000
Fe1 0.000 0.000 0.500
Fe2 0.250 0.250 0.250
```

energy of formation from the pure elements = -0.195 eV/atom

Record 2
Tb3DyAl4 | GGA-PBE | optimized geometry

CIF file:
```
data_Tb3DyAl4
_space_group_name_H-M_alt 'P m m a'
_space_group_IT_number 51
_space_group_name_Hall '-P 2a 2a'
_cell_length_a 10.206
_cell_length_b 7.243
_cell_length_c 5.103
_cell_angle_alpha 90.00
_cell_angle_beta 90.00
_cell_angle_gamma 90.00
loop_
_atom_site_label
_atom_site_fract_x
_atom_site_fract_y
_atom_site_fract_z
Tb1 0.000 0.000 0.000
Tb2 0.250 0.000 0.499
Tb3 0.250 0.500 0.499
Dy1 0.000 0.500 0.000
Al1 0.000 0.251 0.500
Al2 0.250 0.251 0.999
```

energy of formation from the pure elements = -0.396 eV/atom

Record 3
BaTcBi2N | GGA-PBE | optimized geometry

CIF file:
```
data_BaTcBi2N
_space_group_name_H-M_alt 'P 4/m m m'
_space_group_IT_number 123
_space_group_name_Hall '-P 4 2'
_cell_length_a 4.964
_cell_length_b 4.964
_cell_length_c 5.244
_cell_angle_alpha 90.00
_cell_angle_beta 90.00
_cell_angle_gamma 90.00
loop_
_atom_site_label
_atom_site_fract_x
_atom_site_fract_y
_atom_site_fract_z
Ba1 0.000 0.000 0.000
Tc1 0.500 0.500 0.000
Bi1 0.000 0.500 0.500
N1 0.000 0.000 0.500
```

formation energy without anion corrections = 743.3 meV per atom